[1]
Computed, not measured: crystalline CsZrSnH2 at its relaxed geometry at the GGA-PBE level of DFT.

Cell lengths 4.7158, 5.6737, 4.7158 Å; angles 90.00, 90.00, 90.00 degrees
Closest atoms and distances in Å follow each position.
Fractional positions:
Sn: 0.0000 0.5000 0.0000  2 Zr 2.84
H: 0.0000 0.0000 0.5000  2 Zr 2.36
H: 0.5000 0.0000 0.0000  2 Zr 2.36
Zr: 0.0000 0.0000 0.0000  4 H 2.36
Cs: 0.5000 0.5000 0.5000  4 Sn 3.33, 8 H 3.69

## Properties
mass density = 4539 kg/m3
symmetry = P4/mmm (123)



[2]
Computed, not measured: crystalline TaNbPd at its relaxed geometry at the GGA-PBE level of DFT.

Cell lengths 2.8251, 2.8251, 6.7424 Å; angles 102.09, 102.09, 90.00 degrees
Closest atoms and distances in Å follow each position.
Fractional positions:
Ta: 0.6606 0.6606 0.3213  4 Ta 2.83, 4 Pd 2.86, 4 Nb 3.03
Pd: 0.0018 0.0018 0.0036  4 Pd 2.83, 4 Ta 2.86, 4 Nb 2.91
Nb: 0.3376 0.3376 0.6751  4 Nb 2.83, 4 Pd 2.91, 4 Ta 3.03

## Properties
formation energy from the elements = -224.1 meV/atom
mass density = 12287 kg/m3
energy above the lowest structure with this stoichiometry = 0.132 eV per formula unit
symmetry = I4mm (107)



Number 1: total energy -18.49 eV/f.u.. Number 2: total energy -27.79 eV/f.u..